[1]
KZn6Au4 | the Alexandria database | GGA-PBE | relaxed; calculated density = 9.580 g/cm3; E_form = -2.12 eV per formula unit
1.0
7.644 0.000 0.000
-3.822 6.620 0.000
0.000 0.000 4.177
K Zn Au
1 6 4
Cartesian
0.000 0.000 0.000
0.000 2.679 2.089
-1.502 5.281 2.089
3.822 0.451 0.000
2.302 3.084 0.000
1.502 5.281 2.089
5.342 3.084 0.000
0.000 4.413 0.000
2.305 1.331 2.089
5.339 1.331 2.089
3.822 3.958 2.089



[2]
KZn2Au | the Alexandria database | GGA-PBE | relaxed; calculated density = 5.600 g/cm3; E_form = -0.88 eV per formula unit
1.0
3.926 -2.270 0.000
3.926 2.270 0.000
-2.663 0.000 6.105
K Zn Au
1 2 1
Cartesian
0.000 0.000 0.000
2.597 0.000 3.281
5.215 0.000 2.856
-0.021 0.000 3.302



[3]
K3Zn2Au4 | the Alexandria database | GGA-PBE | relaxed; calculated density = 6.756 g/cm3; E_form = -2.31 eV per formula unit
1.0
5.794 -5.520 0.000
5.794 5.520 0.000
-2.930 0.000 7.963
K Zn Au
6 4 8
Cartesian
3.596 3.582 5.972
3.188 1.340 2.848
1.723 -1.340 6.829
6.934 1.340 1.134
5.469 -1.340 5.115
5.061 -3.582 1.991
4.454 4.228 0.665
5.668 4.228 3.316
2.989 -4.228 4.647
4.203 -4.228 7.297
-0.201 0.704 5.077
1.038 1.987 7.306
1.265 -0.704 1.096
6.153 1.987 4.638
2.504 -1.987 3.324
7.392 0.704 6.867
7.618 -1.987 0.657
8.857 -0.704 2.886



[4]
K4Zn3Au5 | the Alexandria database | GGA-PBE | relaxed; calculated density = 5.758 g/cm3; E_form = -2.06 eV per formula unit
1.0
8.013 -2.480 0.000
8.013 2.480 0.000
-4.653 0.000 9.704
K Zn Au
4 3 5
Cartesian
-0.768 0.000 3.480
0.533 0.000 7.565
10.841 0.000 2.139
12.142 0.000 6.224
0.000 0.000 0.000
5.914 0.000 1.391
5.460 0.000 8.313
2.297 0.000 4.646
4.879 0.000 3.687
8.013 0.000 0.000
6.495 0.000 6.017
9.077 0.000 5.059



[5]
KZn2Au2 | the Alexandria database | GGA-PBE | relaxed; calculated density = 8.126 g/cm3; E_form = -1.18 eV per formula unit
1.0
-2.279 2.279 5.544
2.279 -2.279 5.544
2.279 2.279 -5.544
K Zn Au
1 2 2
Cartesian
0.000 0.000 0.000
2.279 0.000 2.772
0.000 2.279 2.772
0.000 0.000 4.139
0.000 0.000 6.948



[6]
KZnAu4 | the Alexandria database | GGA-PBE | relaxed; calculated density = 10.794 g/cm3; E_form = -1.14 eV per formula unit
1.0
7.338 -2.806 0.000
7.338 2.806 0.000
-0.068 0.000 6.668
K Zn Au
2 2 8
Cartesian
2.880 0.000 0.858
11.727 0.000 5.810
6.492 0.000 4.545
8.115 0.000 2.123
5.797 1.432 2.332
7.338 1.426 0.000
3.912 0.000 4.001
8.810 1.432 4.336
5.797 -1.432 2.332
10.695 0.000 2.667
7.338 -1.426 0.000
8.810 -1.432 4.336



E_form of number 4 (K4Zn3Au5)?
-2.06 eV per formula unit



What is the E_form in the third record?
-2.31 eV per formula unit



The highest calculated density belongs to which entry?
KZnAu4



Which value of calculated density does entry 6 give?
10.794 g/cm3